The following is a DFT calculation (PBE) of a relaxed AcSn5Pt2 crystal.

Calculated values
Raw total energy in eV per cell: -39.8
Magnetic moment in μB/cell: 0.00

Lattice parameters (Å, degrees): 4.4537 7.2395 7.2395 72.47 72.09 72.09
Last column: nearest neighbours and their distance in Å.
Positions (direct):
Sn: 0.0000 0.5000 0.5000  2 Pt 2.96, 8 Sn 3.23
Sn: 0.3435 0.4668 0.8463  3 Pt 2.76-3.03
Pt: 0.7262 0.7738 0.7738  7 Sn 2.76-3.03
Pt: 0.2738 0.2262 0.2262  7 Sn 2.76-3.03
Ac: 0.0000 0.0000 0.0000  4 Pt 3.30
Sn: 0.3435 0.8463 0.4668  3 Pt 2.76-3.03
Sn: 0.6565 0.1537 0.5332  3 Pt 2.76-3.03
Sn: 0.6565 0.5332 0.1537  3 Pt 2.76-3.03

***

The following is a DFT calculation (PBE) of a relaxed TaCoSi2 crystal.

Calculated values
Formation energy from raw total energies in eV per atom: -0.05
Magnetic moment in μB/cell: 0.47

Lattice parameters (Å, degrees): 8.0935 8.0935 8.0935 20.41 20.41 20.41
Last column: nearest neighbours and their distance in Å.
Positions (direct):
Si: 0.0061 0.0061 0.0061  3 Co 2.33
Ta: 0.4980 0.4980 0.4980  3 Si 2.70, 3 Co 2.70, 6 Ta 2.87
Si: 0.2542 0.2542 0.2542  9 Si 2.62-2.87, 3 Ta 2.70
Co: 0.7417 0.7417 0.7417  3 Si 2.33